Here is an optimized crystal structure of GaIr2PdRu from Alexandria. Energies are from PBE.

ρ ... 11.816 g cm⁻³
Formation energy from the elements ... 1.31 eV/atom

Cell: 4.555 4.555 4.482 Å, 90.00 90.00 90.00°
Fractional positions:
1 Ga 0.000 0.000 0.000
2 Ir 0.000 0.500 0.000
3 Ir 0.500 0.000 0.000
4 Pd 0.000 0.000 0.500
5 Ru 0.500 0.500 0.500